Here is a relaxed B2MoBrF crystal from the Alexandria database. Energies are from GGA+U.

POSCAR file:
```
B2MoBrF
1.0
4.546 0.000 0.000
0.000 4.180 0.000
0.000 0.000 4.546
B Br Mo F
2 1 1 1
direct
0.500 0.000 0.000
0.000 0.000 0.500
0.500 0.500 0.500
0.000 0.000 0.000
0.000 0.500 0.000
```

Raw total energy ... -0.1506 Ha/atom